(1)
This record from Alexandria via LeMat-Bulk describes a relaxed structure of AcFe2GeC. The functional is PBE.

abc: 5.902 5.902 6.861
angles: 90.00 90.00 137.90
Positions (direct):
1 Ac 0.061 0.939 0.750
2 Ac 0.939 0.061 0.250
3 Fe 0.343 0.657 0.572
4 Fe 0.343 0.657 0.928
5 Fe 0.657 0.343 0.072
6 Fe 0.657 0.343 0.428
7 Ge 0.224 0.776 0.250
8 Ge 0.776 0.224 0.750
9 C 0.500 0.500 0.000
10 C 0.500 0.500 0.500

## Properties
**E**: -71.41 eV per cell
**Energy of formation from the pure elements**: -0.166 eV per atom
**Total magnetic moment**: 2.614 μB/cell
**Symmetry**: Cmcm, No. 63

=====

(2)
This record from Alexandria via LeMat-Bulk describes a relaxed structure of HoZn2GaNi4. The functional is PBE.

abc: 7.779 7.779 7.779
angles: 31.27 31.27 31.27
Positions (direct):
1 Ho 0.000 0.000 0.000
2 Zn 0.246 0.246 0.246
3 Zn 0.754 0.754 0.754
4 Ga 0.500 0.500 0.500
5 Ni 0.129 0.129 0.129
6 Ni 0.395 0.395 0.395
7 Ni 0.605 0.605 0.605
8 Ni 0.871 0.871 0.871

## Properties
**E**: -35.78 eV per cell
**Energy of formation from the pure elements**: -0.313 eV per atom
**Total magnetic moment**: 0.000 μB/cell
**Symmetry**: R-3m, No. 166

=====

(3)
This record from Alexandria via LeMat-Bulk describes a relaxed structure of LiAgF2. The functional is PBE.

abc: 6.123 6.123 6.123
angles: 28.54 28.54 28.54
Positions (direct):
1 Li 0.000 0.000 0.000
2 Ag 0.168 0.168 0.168
3 F 0.398 0.398 0.398
4 F 0.604 0.604 0.604

## Properties
**Formation energy (no corrections)**: -1.93 eV per atom
**Polymorph energy (0 for the lowest one)**: 0.11 eV per formula unit
**E**: -16.23 eV per cell
**Total magnetic moment**: 0.000 μB/cell
**Symmetry**: R3m, No. 160

=====

(4)
This record from Alexandria via LeMat-Bulk describes a relaxed structure of Er2InB2Ir5. The functional is PBE.

abc: 9.705 9.705 3.214
angles: 90.00 90.00 90.00
Positions (direct):
1 Er 0.177 0.323 0.000
2 Er 0.323 0.823 0.000
3 Er 0.677 0.177 0.000
4 Er 0.823 0.677 0.000
5 In 0.000 0.000 0.000
6 In 0.500 0.500 0.000
7 B 0.120 0.620 0.000
8 B 0.380 0.120 0.000
9 B 0.620 0.880 0.000
10 B 0.880 0.380 0.000
11 Ir 0.000 0.500 0.500
12 Ir 0.070 0.774 0.500
13 Ir 0.226 0.070 0.500
14 Ir 0.274 0.570 0.500
15 Ir 0.430 0.274 0.500
16 Ir 0.500 0.000 0.500
17 Ir 0.570 0.726 0.500
18 Ir 0.726 0.430 0.500
19 Ir 0.774 0.930 0.500
20 Ir 0.930 0.226 0.500

## Properties
**E**: -153.20 eV per cell
**Energy of formation from the pure elements**: -0.707 eV per atom
**Total magnetic moment**: 0.000 μB/cell
**Symmetry**: P4/mbm, No. 127

=====

(5)
This record from Alexandria via LeMat-Bulk describes a relaxed structure of Zn2BiRh2. The functional is PBE.

abc: 7.098 7.098 7.098
angles: 150.39 150.39 42.37
Positions (direct):
1 Zn 0.250 0.750 0.500
2 Zn 0.750 0.250 0.500
3 Bi 0.000 0.000 0.000
4 Rh 0.393 0.393 0.000
5 Rh 0.607 0.607 0.000

## Properties
**Polymorph energy (0 for the lowest one)**: 0.21 eV per formula unit
**E**: -21.67 eV per cell
**Energy of formation from the pure elements**: -0.107 eV per atom
**Total magnetic moment**: 0.000 μB/cell
**Symmetry**: I4/mmm, No. 139

=====

(6)
This record from Alexandria via LeMat-Bulk describes a relaxed structure of TmAgO2. The functional is PBE.

abc: 6.153 6.153 6.153
angles: 31.94 31.94 31.94
Positions (direct):
1 Tm 0.000 0.000 0.000
2 Ag 0.827 0.827 0.827
3 O 0.398 0.398 0.398
4 O 0.603 0.603 0.603

## Properties
**Formation energy (no corrections)**: -2.16 eV per atom
**E**: -25.86 eV per cell
**Total magnetic moment**: 0.000 μB/cell
**Symmetry**: R3m, No. 160

=====

(7)
This record from Alexandria via LeMat-Bulk describes a relaxed structure of SrCu2Au5. The functional is PBE.

abc: 6.621 6.621 6.621
angles: 143.71 108.88 82.55
Positions (direct):
1 Sr 0.000 0.000 0.000
2 Cu 0.243 0.743 0.500
3 Cu 0.757 0.257 0.500
4 Au 0.158 0.349 0.809
5 Au 0.460 0.651 0.809
6 Au 0.500 0.000 0.500
7 Au 0.540 0.349 0.191
8 Au 0.842 0.651 0.191

## Properties
**E**: -28.03 eV per cell
**Energy of formation from the pure elements**: -0.221 eV per atom
**Total magnetic moment**: 0.000 μB/cell
**Symmetry**: Immm, No. 71

=====

Which of these has the highest E?
LiAgF2

=====

Look up the total magnetic moment of the third one.
0.000 μB/cell